{"formula": "Rb2MnCrO4", "functional": "PBE+U", "state": "relaxed", "final_energy_ev_per_cell": -96.36, "m_tot_mub_per_atom": 0.8750, "vol_a3_per_atom": 22.5, "spacegroup": "Fddd (70)", "lattice": [[0.0000, 6.6050, 9.9481], [2.7423, 0.0000, 9.9481], [2.7423, 6.6050, 0.0000]], "species": ["Rb", "Rb", "Rb", "Rb", "Mn", "Mn", "Cr", "Cr", "O", "O", "O", "O", "O", "O", "O", "O"], "frac_coords": [[0.0560, 0.0560, 0.6940], [0.3060, 0.3060, 0.9440], [0.6940, 0.6940, 0.0560], [0.9440, 0.9440, 0.3060], [0.1250, 0.1250, 0.1250], [0.8750, 0.8750, 0.8750], [0.3750, 0.3750, 0.3750], [0.6250, 0.6250, 0.6250], [0.0041, 0.6976, 0.5561], [0.2423, 0.5561, 0.6976], [0.3024, 0.9959, 0.7577], [0.4439, 0.7577, 0.9959], [0.5561, 0.2423, 0.0041], [0.6976, 0.0041, 0.2423], [0.7577, 0.4439, 0.3024], [0.9959, 0.3024, 0.4439]]}